(1)
This record from Alexandria describes an optimized crystal structure of SrDyTl. The functional is PBE.

Cell lengths 5.113, 5.113, 8.168 Å; angles 90.06, 90.06, 89.93 degrees
Fractional positions:
Sr  0.813  0.866  0.561
Sr  0.314  0.367  0.278
Dy  0.813  0.367  0.920
Dy  0.314  0.866  0.920
Tl  0.815  0.867  0.148
Tl  0.313  0.366  0.691

Calculated values
E_tot: -0.2322 Ry per atom
Formation energy: -275.8 meV per atom
SG: C2/m (12)

***

(2)
This record from Alexandria describes an optimized crystal structure of SrDyTl2. The functional is PBE.

Cell lengths 3.910, 3.910, 7.975 Å; angles 90.00, 90.00, 90.00 degrees
Fractional positions:
Sr  0.500  0.500  0.500
Tl  0.000  0.000  0.774
Tl  0.000  0.000  0.226
Dy  0.500  0.500  0.000

Calculated values
E_tot: -0.2304 Ry per atom
Formation energy: -380.6 meV per atom
SG: P4/mmm (123)

***

(3)
This record from Alexandria describes an optimized crystal structure of Sr4DyTl5. The functional is PBE.

Cell lengths 4.009, 4.009, 20.384 Å; angles 90.00, 90.00, 90.00 degrees
Fractional positions:
Sr  0.000  0.000  0.192
Sr  0.000  0.000  0.397
Sr  0.000  0.000  0.603
Sr  0.000  0.000  0.808
Dy  0.000  0.000  0.000
Tl  0.500  0.500  0.086
Tl  0.500  0.500  0.296
Tl  0.500  0.500  0.500
Tl  0.500  0.500  0.704
Tl  0.500  0.500  0.914

Calculated values
E_tot: -0.1998 Ry per atom
Formation energy: -402.1 meV per atom
SG: P4/mmm (123)

***

(4)
This record from Alexandria describes an optimized crystal structure of SrDy2Tl. The functional is PBE.

Cell lengths 3.721, 3.721, 9.897 Å; angles 90.00, 90.00, 90.00 degrees
Fractional positions:
Sr  0.500  0.500  0.500
Tl  0.500  0.500  0.000
Dy  0.000  0.000  0.803
Dy  0.000  0.000  0.197

Calculated values
E_tot: -0.2468 Ry per atom
Formation energy: -44.7 meV per atom
SG: P4/mmm (123)

***

(5)
This record from Alexandria describes an optimized crystal structure of SrDy4Tl5. The functional is PBE.

Cell lengths 3.828, 3.828, 19.494 Å; angles 90.00, 90.00, 90.00 degrees
Fractional positions:
Sr  0.000  0.000  0.000
Dy  0.000  0.000  0.210
Dy  0.000  0.000  0.404
Dy  0.000  0.000  0.596
Dy  0.000  0.000  0.790
Tl  0.500  0.500  0.115
Tl  0.500  0.500  0.308
Tl  0.500  0.500  0.500
Tl  0.500  0.500  0.692
Tl  0.500  0.500  0.885

Calculated values
E_tot: -0.2606 Ry per atom
Formation energy: -353.2 meV per atom
SG: P4/mmm (123)

***

(6)
This record from Alexandria describes an optimized crystal structure of SrDy2Tl3. The functional is PBE.

Cell lengths 3.867, 3.867, 11.830 Å; angles 90.00, 90.00, 90.00 degrees
Fractional positions:
Sr  0.500  0.500  0.500
Dy  0.500  0.500  0.841
Dy  0.500  0.500  0.159
Tl  0.000  0.000  0.000
Tl  0.000  0.000  0.688
Tl  0.000  0.000  0.312

Calculated values
E_tot: -0.2471 Ry per atom
Formation energy: -364.4 meV per atom
SG: P4/mmm (123)

***

(7)
This record from Alexandria describes an optimized crystal structure of Sr2DyTl. The functional is PBE.

Cell lengths 3.848, 3.848, 12.614 Å; angles 81.23, 81.23, 60.00 degrees
Fractional positions:
Sr  0.096  0.096  0.711
Sr  0.904  0.904  0.289
Tl  0.500  0.500  0.500
Dy  0.000  0.000  0.000

Calculated values
E_tot: -0.1786 Ry per atom
Formation energy: 152.7 meV per atom
SG: R-3m (166)

***

(8)
This record from Alexandria describes an optimized crystal structure of Sr3DyTl4. The functional is PBE.

Cell lengths 3.987, 3.987, 16.298 Å; angles 90.00, 90.00, 90.00 degrees
Fractional positions:
Sr  0.500  0.500  0.242
Sr  0.500  0.500  0.500
Sr  0.500  0.500  0.758
Tl  0.000  0.000  0.891
Tl  0.000  0.000  0.109
Tl  0.000  0.000  0.373
Tl  0.000  0.000  0.627
Dy  0.500  0.500  0.000

Calculated values
E_tot: -0.2048 Ry per atom
Formation energy: -396.8 meV per atom
SG: P4/mmm (123)

***

(9)
This record from Alexandria describes an optimized crystal structure of SrDy2Tl. The functional is PBE.

Cell lengths 5.005, 5.017, 5.017 Å; angles 90.00, 90.00, 90.00 degrees
Fractional positions:
Sr  0.500  0.500  0.500
Tl  0.500  0.000  0.000
Dy  0.000  0.000  0.500
Dy  0.000  0.500  0.000

Calculated values
E_tot: -0.2466 Ry per atom
Formation energy: -42.1 meV per atom
SG: P4/mmm (123)

***

(10)
This record from Alexandria describes an optimized crystal structure of Sr2Dy3Tl4. The functional is PBE.

Cell lengths 7.319, 8.950, 9.690 Å; angles 90.00, 112.19, 90.00 degrees
Fractional positions:
Sr  0.106  0.586  0.211
Sr  0.894  0.414  0.789
Sr  0.394  0.086  0.789
Sr  0.606  0.914  0.211
Dy  0.000  0.000  0.000
Dy  0.500  0.500  0.000
Dy  0.527  0.750  0.554
Dy  0.973  0.250  0.446
Dy  0.473  0.250  0.446
Dy  0.027  0.750  0.554
Tl  0.698  0.750  0.896
Tl  0.802  0.250  0.104
Tl  0.302  0.250  0.104
Tl  0.198  0.750  0.896
Tl  0.180  0.964  0.359
Tl  0.820  0.036  0.641
Tl  0.320  0.464  0.641
Tl  0.680  0.536  0.359

Calculated values
E_tot: -0.2356 Ry per atom
Formation energy: -246.2 meV per atom
SG: Cmce (64)

***

(11)
This record from Alexandria describes an optimized crystal structure of SrDyTl. The functional is PBE.

Cell lengths 4.006, 5.447, 5.447 Å; angles 120.00, 90.00, 90.00 degrees
Fractional positions:
Sr  0.682  0.333  0.667
Tl  0.110  0.000  0.000
Dy  0.208  0.667  0.333

Calculated values
E_tot: -0.2205 Ry per atom
Formation energy: -116.7 meV per atom
SG: P3m1 (156)

***

(12)
This record from Alexandria describes an optimized crystal structure of SrDy2Tl. The functional is PBE.

Cell lengths 3.703, 3.703, 12.162 Å; angles 81.24, 81.24, 60.00 degrees
Fractional positions:
Sr  0.000  0.000  0.000
Tl  0.500  0.500  0.500
Dy  0.100  0.100  0.701
Dy  0.900  0.900  0.299

Calculated values
E_tot: -0.2341 Ry per atom
Formation energy: 127.9 meV per atom
SG: R-3m (166)

***

(13)
This record from Alexandria describes an optimized crystal structure of SrDy2Tl. The functional is PBE.

Cell lengths 5.250, 5.250, 6.857 Å; angles 67.49, 67.49, 60.00 degrees
Fractional positions:
Sr  0.490  0.490  0.529
Dy  0.044  0.044  0.867
Dy  0.279  0.279  0.162
Tl  0.686  0.686  0.941

Calculated values
E_tot: -0.2376 Ry per atom
Formation energy: 81.0 meV per atom
SG: R3m (160)

***

(14)
This record from Alexandria describes an optimized crystal structure of Sr2DyTl3. The functional is PBE.

Cell lengths 3.945, 3.945, 12.273 Å; angles 90.00, 90.00, 90.00 degrees
Fractional positions:
Sr  0.500  0.500  0.825
Sr  0.500  0.500  0.175
Dy  0.500  0.500  0.500
Tl  0.000  0.000  0.000
Tl  0.000  0.000  0.646
Tl  0.000  0.000  0.354

Calculated values
E_tot: -0.2130 Ry per atom
Formation energy: -386.9 meV per atom
SG: P4/mmm (123)

***

(15)
This record from Alexandria describes an optimized crystal structure of SrDy2Tl9. The functional is PBE.

Cell lengths 4.841, 4.841, 14.499 Å; angles 90.00, 90.00, 90.00 degrees
Fractional positions:
Sr  0.000  0.000  0.000
Dy  0.000  0.000  0.342
Dy  0.000  0.000  0.658
Tl  0.500  0.500  0.000
Tl  0.500  0.500  0.335
Tl  0.500  0.500  0.665
Tl  0.500  0.000  0.176
Tl  0.500  0.000  0.500
Tl  0.500  0.000  0.824
Tl  0.000  0.500  0.176
Tl  0.000  0.500  0.500
Tl  0.000  0.500  0.824

Calculated values
E_tot: -0.2148 Ry per atom
Formation energy: -241.3 meV per atom
SG: P4/mmm (123)

***

(16)
This record from Alexandria describes an optimized crystal structure of SrDy2Tl2. The functional is PBE.

Cell lengths 7.267, 7.044, 9.327 Å; angles 78.29, 67.08, 58.59 degrees
Fractional positions:
Sr  0.875  0.750  0.250
Sr  0.125  0.250  0.750
Dy  0.481  0.750  0.038
Dy  0.731  0.250  0.538
Dy  0.519  0.250  0.962
Dy  0.269  0.750  0.462
Tl  0.590  0.321  0.250
Tl  0.840  0.821  0.750
Tl  0.160  0.179  0.250
Tl  0.410  0.679  0.750

Calculated values
E_tot: -0.2294 Ry per atom
Formation energy: 2.0 meV per atom
SG: C2/c (15)

***

(17)
This record from Alexandria describes an optimized crystal structure of SrDyTl. The functional is PBE.

Cell lengths 3.899, 3.899, 7.423 Å; angles 105.22, 105.22, 90.00 degrees
Fractional positions:
Sr  0.017  0.017  0.034
Tl  0.682  0.682  0.365
Dy  0.301  0.301  0.601

Calculated values
E_tot: -0.2239 Ry per atom
Formation energy: -162.9 meV per atom
SG: I4mm (107)

***

(18)
This record from Alexandria describes an optimized crystal structure of SrDyTlZn. The functional is PBE.

Cell lengths 5.435, 5.435, 5.435 Å; angles 60.00, 60.00, 60.00 degrees
Fractional positions:
Sr  0.000  0.000  0.000
Tl  0.750  0.750  0.750
Zn  0.250  0.250  0.250
Dy  0.500  0.500  0.500

Calculated values
E_tot: -0.2015 Ry per atom
Formation energy: -260.0 meV per atom
SG: F-43m (216)

***

(19)
This record from Alexandria describes an optimized crystal structure of SrDy2Tm. The functional is PBE.

Cell lengths 3.584, 3.584, 12.885 Å; angles 82.01, 82.01, 60.00 degrees
Fractional positions:
Sr  0.000  0.000  0.000
Tm  0.500  0.500  0.500
Dy  0.094  0.094  0.719
Dy  0.906  0.906  0.281

Calculated values
E_tot: -0.2654 Ry per atom
Formation energy: 228.4 meV per atom
SG: R-3m (166)

***

(20)
This record from Alexandria describes an optimized crystal structure of SrDy2Tm. The functional is PBE.

Cell lengths 3.652, 3.652, 12.247 Å; angles 81.43, 81.43, 60.00 degrees
Fractional positions:
Sr  0.500  0.500  0.499
Dy  0.076  0.076  0.771
Dy  0.257  0.257  0.229
Tm  0.666  0.666  0.001

Calculated values
E_tot: -0.2722 Ry per atom
Formation energy: 135.5 meV per atom
SG: R3m (160)

***

(21)
This record from Alexandria describes an optimized crystal structure of SrDy2Tm. The functional is PBE.

Cell lengths 3.996, 3.996, 9.160 Å; angles 90.00, 90.00, 90.00 degrees
Fractional positions:
Sr  0.500  0.500  0.500
Tm  0.500  0.500  0.000
Dy  0.000  0.000  0.798
Dy  0.000  0.000  0.202

Calculated values
E_tot: -0.2710 Ry per atom
Formation energy: 151.8 meV per atom
SG: P4/mmm (123)

***

(22)
This record from Alexandria describes an optimized crystal structure of SrDyTm2. The functional is PBE.

Cell lengths 3.571, 3.571, 12.818 Å; angles 81.99, 81.99, 60.00 degrees
Fractional positions:
Sr  0.000  0.000  0.000
Tm  0.093  0.093  0.720
Tm  0.907  0.907  0.280
Dy  0.500  0.500  0.500

Calculated values
E_tot: -0.2619 Ry per atom
Formation energy: 243.7 meV per atom
SG: R-3m (166)

***

(23)
This record from Alexandria describes an optimized crystal structure of SrDyTm2. The functional is PBE.

Cell lengths 3.647, 3.647, 10.493 Å; angles 90.00, 90.00, 90.00 degrees
Fractional positions:
Sr  0.500  0.500  0.500
Tm  0.000  0.000  0.781
Tm  0.000  0.000  0.219
Dy  0.500  0.500  0.000

Calculated values
E_tot: -0.2694 Ry per atom
Formation energy: 141.0 meV per atom
SG: P4/mmm (123)

***

(24)
This record from Alexandria describes an optimized crystal structure of SrDy2Y. The functional is PBE.

Cell lengths 3.675, 3.675, 12.320 Å; angles 81.42, 81.42, 60.00 degrees
Fractional positions:
Sr  0.501  0.501  0.498
Dy  0.077  0.077  0.769
Dy  0.256  0.256  0.231
Y  0.666  0.666  0.001

Calculated values
E_tot: -0.3093 Ry per atom
Formation energy: 129.4 meV per atom
SG: R3m (160)

***

(25)
This record from Alexandria describes an optimized crystal structure of SrDy2Y. The functional is PBE.

Cell lengths 3.675, 3.675, 10.604 Å; angles 90.00, 90.00, 90.00 degrees
Fractional positions:
Y  0.500  0.500  0.000
Sr  0.500  0.500  0.500
Dy  0.000  0.000  0.778
Dy  0.000  0.000  0.222

Calculated values
E_tot: -0.3094 Ry per atom
Formation energy: 128.2 meV per atom
SG: P4/mmm (123)

***

(26)
This record from Alexandria describes an optimized crystal structure of SrDy2Y. The functional is PBE.

Cell lengths 3.667, 3.667, 12.405 Å; angles 81.50, 81.50, 60.00 degrees
Fractional positions:
Y  0.000  0.000  0.000
Sr  0.500  0.500  0.500
Dy  0.743  0.743  0.770
Dy  0.257  0.257  0.230

Calculated values
E_tot: -0.3087 Ry per atom
Formation energy: 137.6 meV per atom
SG: R-3m (166)

***

(27)
This record from Alexandria describes an optimized crystal structure of SrDyZn4. The functional is PBE.

Cell lengths 4.239, 4.239, 8.327 Å; angles 104.74, 104.74, 90.00 degrees
Fractional positions:
Sr  0.250  0.750  0.500
Dy  0.000  0.000  0.000
Zn  0.663  0.163  0.325
Zn  0.579  0.579  0.158
Zn  0.837  0.337  0.675
Zn  0.421  0.421  0.842

Calculated values
E_tot: -0.1568 Ry per atom
Formation energy: -236.6 meV per atom
SG: I-4m2 (119)